[1]
Computed, not measured: a relaxed U2GaMo crystal at the PBE-GGA level of DFT.

## Properties
energy = -8.771 eV per atom
relative energy among the computed polymorphs = 325.6 meV per atom
ΔH_f (0 K) = 337 meV/atom

Cell lengths 6.903, 6.903, 6.903 Å; angles 90.00, 90.00, 90.00 degrees
Space group Fm-3m (No. 225)
Unique sites:
U 0.250 0.250 0.250 [8 per cell]
Ga 0.000 0.000 0.000 [4 per cell]
Mo 0.000 0.000 0.500 [4 per cell]



[2]
Computed, not measured: a relaxed UGa2Mo crystal at the PBE-GGA level of DFT.

## Properties
energy = -7.193 eV per atom
relative energy among the computed polymorphs = 0.0 meV per atom
ΔH_f (0 K) = -149 meV/atom

Cell lengths 4.636, 6.495, 5.090 Å; angles 90.00, 105.69, 90.00 degrees
Space group P2_1/m (No. 11)
Unique sites:
U 0.031 0.250 0.131 [2 per cell]
Ga 0.430 0.050 0.733 [4 per cell]
Mo 0.096 0.750 0.413 [2 per cell]



[3]
Computed, not measured: a relaxed UGa2Mo crystal at the PBE-GGA level of DFT.

## Properties
energy = -7.041 eV per atom
relative energy among the computed polymorphs = 151.9 meV per atom
ΔH_f (0 K) = 3 meV/atom

Cell lengths 2.9003, 2.9003, 29.1207 Å; angles 90.00, 90.00, 120.00 degrees
Space group R-3m (No. 166, hexagonal axes)
Unique sites:
U 0.0000 0.0000 0.0000 [3 per cell]
Ga 0.0000 0.0000 0.2418 [6 per cell]
Mo 0.0000 0.0000 0.5000 [3 per cell]



[4]
Computed, not measured: a relaxed U2GaMo crystal at the PBE-GGA level of DFT.

## Properties
energy = -9.097 eV per atom
relative energy among the computed polymorphs = 0.0 meV per atom
ΔH_f (0 K) = 12 meV/atom

Cell lengths 4.075, 4.075, 4.456 Å; angles 90.00, 90.00, 90.00 degrees
Space group P4/mmm (No. 123)
Unique sites:
U 0.000 0.500 0.000 [2 per cell]
Ga 0.000 0.000 0.500 [1 per cell]
Mo 0.500 0.500 0.500 [1 per cell]